1.
Here is a relaxed BaGePt2O crystal from Alexandria. Energies are from PBE.

Unit cell a=4.5112 b=4.5112 c=5.0108 alpha=90.00 beta=90.00 gamma=90.00
Space group P4/mmm (No. 123)
Asymmetric unit:
Ba1 0.0000 0.0000 0.0000
Ge1 0.5000 0.5000 0.0000
Pt1 0.0000 0.5000 0.5000
O1 0.0000 0.0000 0.5000

Results
**Fermi-level density of states**: 0.6638 states/eV per atom
**Final energy**: -23.8 eV for the cell shown
**Total magnetization**: 0.00 μB/cell

2.
Here is a relaxed Ba3PuGe2O8 crystal from Alexandria. Energies are from PBE.

Unit cell a=6.0685 b=6.0685 c=7.7511 alpha=90.00 beta=90.00 gamma=120.00
Space group P-3m1 (No. 164)
Asymmetric unit:
Ba1 0.0000 0.0000 0.0000
Ba2 0.3333 0.6667 0.6682
Pu1 0.0000 0.0000 0.5000
Ge1 0.3333 0.6667 0.2100
O1 0.1750 0.3500 0.3040
O2 0.3333 0.6667 0.9848

Results
**Fermi-level density of states**: 0.8280 states/eV per atom
**Final energy**: -101.4 eV for the cell shown
**Total magnetization**: 5.81 μB/cell

3.
Here is a relaxed Ba2PuGeO6 crystal from Alexandria. Energies are from PBE.

Unit cell a=4.2485 b=4.2485 c=8.3523 alpha=90.00 beta=90.00 gamma=90.00
Space group P4/mmm (No. 123)
Asymmetric unit:
Ba1 0.0000 0.0000 0.2229
Pu1 0.5000 0.5000 0.5000
Ge1 0.5000 0.5000 0.0000
O1 0.0000 0.5000 0.0000
O2 0.0000 0.5000 0.5000
O3 0.5000 0.5000 0.2238

Results
**Fermi-level density of states**: 0.5487 states/eV per atom
**Final energy**: -77.7 eV for the cell shown
**Total magnetization**: 3.98 μB/cell

4.
Here is a relaxed BaPuGeO6 crystal from Alexandria. Energies are from PBE.

Unit cell a=5.3662 b=5.3662 c=5.8556 alpha=90.00 beta=90.00 gamma=120.00
Space group P312 (No. 149)
Asymmetric unit:
Ba1 0.0000 0.0000 0.0000
Pu1 0.3333 0.6667 0.5000
Ge1 0.6667 0.3333 0.5000
O1 0.3869 0.0193 0.6891

Results
**Fermi-level density of states**: 0.7018 states/eV per atom
**Final energy**: -71.3 eV for the cell shown
**Total magnetization**: 2.00 μB/cell

5.
Here is a relaxed BaPu2GeO8 crystal from Alexandria. Energies are from PBE.

Unit cell a=5.1055 b=5.1069 c=7.1376 alpha=86.43 beta=86.37 gamma=84.28
Space group P-1 (No. 2)
Asymmetric unit:
Ba1 0.0000 0.0000 0.0000
Pu1 0.4865 0.4864 0.2675
Ge1 0.0000 0.0000 0.5000
O1 0.1779 0.7964 0.6871
O2 0.2052 0.8235 0.3126
O3 0.3114 0.3130 0.4943
O4 0.3420 0.3445 0.9629

Results
**Fermi-level density of states**: 0.7309 states/eV per atom
**Final energy**: -103.1 eV for the cell shown
**Total magnetization**: 6.00 μB/cell

6.
Here is a relaxed RbBa2Ge2O6 crystal from Alexandria. Energies are from PBE.

Unit cell a=6.0610 b=6.0610 c=21.8545 alpha=90.00 beta=90.00 gamma=120.00
Space group R-3m (No. 166, hexagonal axes)
Asymmetric unit:
Rb1 0.0000 0.0000 0.0000
Ba1 0.0000 0.0000 0.1994
Ge1 0.0000 0.0000 0.4234
O1 0.0069 0.5035 0.2291

Results
**Fermi-level density of states**: 0.3032 states/eV per atom
**Final energy**: -192.9 eV for the cell shown
**Total magnetization**: 2.11 μB/cell

7.
Here is a relaxed Ba2ReGeO6 crystal from Alexandria. Energies are from PBE.

Unit cell a=8.4631 b=8.4631 c=8.4631 alpha=90.00 beta=90.00 gamma=90.00
Space group Fm-3m (No. 225)
Asymmetric unit:
Ba1 0.2500 0.2500 0.2500
Re1 0.0000 0.0000 0.0000
Ge1 0.0000 0.0000 0.5000
O1 0.0000 0.0000 0.2299

Results
**Fermi-level density of states**: 0.4144 states/eV per atom
**Final energy**: -282.1 eV for the cell shown
**Total magnetization**: 4.06 μB/cell

8.
Here is a relaxed BaReGeO6 crystal from Alexandria. Energies are from PBE.

Unit cell a=5.2399 b=5.2399 c=5.7238 alpha=90.00 beta=90.00 gamma=120.00
Space group P312 (No. 149)
Asymmetric unit:
Ba1 0.0000 0.0000 0.0000
Re1 0.3333 0.6667 0.5000
Ge1 0.6667 0.3333 0.5000
O1 0.0006 0.4052 0.6926

Results
**Fermi-level density of states**: 0.2864 states/eV per atom
**Final energy**: -66.3 eV for the cell shown
**Total magnetization**: 0.57 μB/cell

9.
Here is a relaxed BaReGe2O8 crystal from Alexandria. Energies are from PBE.

Unit cell a=4.8700 b=4.8700 c=26.2664 alpha=90.00 beta=90.00 gamma=120.00
Space group R32 (No. 155, hexagonal axes)
Asymmetric unit:
Ba1 0.0000 0.0000 0.0000
Re1 0.0000 0.0000 0.5000
Ge1 0.0000 0.0000 0.2368
O1 0.0000 0.0000 0.3022
O2 0.0017 0.3053 0.4525

Results
**Fermi-level density of states**: 0.3709 states/eV per atom
**Final energy**: -248.4 eV for the cell shown
**Total magnetization**: 3.03 μB/cell

10.
Here is a relaxed BaGeRhO6 crystal from Alexandria. Energies are from PBE.

Unit cell a=5.1834 b=5.1834 c=5.8352 alpha=90.00 beta=90.00 gamma=120.00
Space group P312 (No. 149)
Asymmetric unit:
Ba1 0.0000 0.0000 0.0000
Ge1 0.6667 0.3333 0.5000
Rh1 0.3333 0.6667 0.5000
O1 0.3897 0.0052 0.6873

Results
**Fermi-level density of states**: 0.5043 states/eV per atom
**Final energy**: -56.4 eV for the cell shown
**Total magnetization**: 2.57 μB/cell

11.
Here is a relaxed BaGeSO2 crystal from Alexandria. Energies are from PBE.

Unit cell a=6.2548 b=12.3953 c=5.3785 alpha=90.00 beta=90.00 gamma=90.00
Space group Cmcm (No. 63)
Asymmetric unit:
Ba1 0.0000 0.1414 0.2500
Ge1 0.0000 0.4636 0.7500
S1 0.0000 0.2824 0.7500
O1 0.2013 0.5000 0.0000

Results
**Fermi-level density of states**: 0.0000 states/eV per atom
**Final energy**: -119.3 eV for the cell shown
**Total magnetization**: 0.00 μB/cell

12.
Here is a relaxed BaGeSb2O8 crystal from Alexandria. Energies are from PBE.

Unit cell a=4.9747 b=6.7122 c=4.9988 alpha=90.00 beta=97.08 gamma=90.00
Space group P2/m (No. 10)
Asymmetric unit:
Ba1 0.0000 0.0000 0.0000
Ge1 0.0000 0.5000 0.0000
Sb1 0.5000 0.2667 0.5000
O1 0.2084 0.3048 0.1937
O2 0.3026 0.5000 0.6829
O3 0.3309 0.0000 0.6492

Results
**Fermi-level density of states**: 0.2877 states/eV per atom
**Final energy**: -71.4 eV for the cell shown
**Total magnetization**: 0.00 μB/cell

13.
Here is a relaxed Ba2GeSbO6 crystal from Alexandria. Energies are from PBE.

Unit cell a=8.2475 b=8.2475 c=8.2475 alpha=90.00 beta=90.00 gamma=90.00
Space group Fm-3m (No. 225)
Asymmetric unit:
Ba1 0.2500 0.2500 0.2500
Ge1 0.0000 0.0000 0.0000
Sb1 0.0000 0.0000 0.5000
O1 0.0000 0.0000 0.2427

Results
**Fermi-level density of states**: 0.0673 states/eV per atom
**Final energy**: -251.1 eV for the cell shown
**Total magnetization**: 0.00 μB/cell

14.
Here is a relaxed BaGe2SbO8 crystal from Alexandria. Energies are from PBE.

Unit cell a=5.0362 b=5.0362 c=24.8098 alpha=90.00 beta=90.00 gamma=120.00
Space group R32 (No. 155, hexagonal axes)
Asymmetric unit:
Ba1 0.0000 0.0000 0.0000
Ge1 0.0000 0.0000 0.2395
Sb1 0.0000 0.0000 0.5000
O1 0.0000 0.0000 0.3098
O2 0.0123 0.3146 0.4481

Results
**Fermi-level density of states**: 0.5759 states/eV per atom
**Final energy**: -220.9 eV for the cell shown
**Total magnetization**: 3.21 μB/cell

15.
Here is a relaxed BaScGe2O crystal from Alexandria. Energies are from PBE.

Unit cell a=5.3819 b=5.3819 c=4.0593 alpha=90.00 beta=90.00 gamma=90.00
Space group P4/mmm (No. 123)
Asymmetric unit:
Ba1 0.0000 0.0000 0.0000
Sc1 0.5000 0.5000 0.0000
Ge1 0.0000 0.5000 0.5000
O1 0.5000 0.5000 0.5000

Results
**Fermi-level density of states**: 0.7472 states/eV per atom
**Final energy**: -26.0 eV for the cell shown
**Total magnetization**: 0.00 μB/cell

16.
Here is a relaxed Ba3ScGe2O8 crystal from Alexandria. Energies are from PBE.

Unit cell a=5.9073 b=5.9073 c=7.5826 alpha=90.00 beta=90.00 gamma=120.00
Space group P-3m1 (No. 164)
Asymmetric unit:
Ba1 0.0000 0.0000 0.0000
Ba2 0.3333 0.6667 0.6626
Sc1 0.0000 0.0000 0.5000
Ge1 0.3333 0.6667 0.2257
O1 0.1675 0.3349 0.3291
O2 0.3333 0.6667 0.9932

Results
**Fermi-level density of states**: 0.3315 states/eV per atom
**Final energy**: -94.7 eV for the cell shown
**Total magnetization**: 0.00 μB/cell

17.
Here is a relaxed BaGeSe2O8 crystal from Alexandria. Energies are from PBE.

Unit cell a=10.0211 b=5.6828 c=6.9501 alpha=90.00 beta=112.89 gamma=90.00
Space group C2/m (No. 12)
Asymmetric unit:
Ba1 0.0000 0.0000 0.0000
Ge1 0.0000 0.5000 0.5000
Se1 0.2155 0.0000 0.6752
O1 0.1021 0.5000 0.2244
O2 0.1539 0.0000 0.4179
O3 0.1538 0.2376 0.7619

Results
**Fermi-level density of states**: 0.0000 states/eV per atom
**Final energy**: -134.5 eV for the cell shown
**Total magnetization**: 0.00 μB/cell

18.
Here is a relaxed Ba3SmGe2O8 crystal from Alexandria. Energies are from PBE.

Unit cell a=5.9825 b=5.9825 c=7.8906 alpha=90.00 beta=90.00 gamma=120.00
Space group P-3m1 (No. 164)
Asymmetric unit:
Ba1 0.0000 0.0000 0.0000
Ba2 0.3333 0.6667 0.6812
Sm1 0.0000 0.0000 0.5000
Ge1 0.3333 0.6667 0.2170
O1 0.1726 0.3453 0.3067
O2 0.3333 0.6667 0.9964

Results
**Fermi-level density of states**: 0.3060 states/eV per atom
**Final energy**: -92.7 eV for the cell shown
**Total magnetization**: 0.00 μB/cell

19.
Here is a relaxed Ba2SnGeO6 crystal from Alexandria. Energies are from PBE.

Unit cell a=8.1589 b=8.1589 c=8.1589 alpha=90.00 beta=90.00 gamma=90.00
Space group Fm-3m (No. 225)
Asymmetric unit:
Ba1 0.2500 0.2500 0.2500
Sn1 0.0000 0.0000 0.0000
Ge1 0.0000 0.0000 0.5000
O1 0.0000 0.0000 0.2591

Results
**Fermi-level density of states**: 0.1725 states/eV per atom
**Final energy**: -253.5 eV for the cell shown
**Total magnetization**: 0.00 μB/cell

20.
Here is a relaxed BaSnGeO5 crystal from Alexandria. Energies are from PBE.

Unit cell a=7.2095 b=9.6955 c=7.5102 alpha=90.00 beta=113.56 gamma=90.00
Space group C2/c (No. 15)
Asymmetric unit:
Ba1 0.0000 0.1613 0.2500
Sn1 0.0000 0.5000 0.0000
Ge1 0.0000 0.1918 0.7500
O1 0.0000 0.4303 0.2500
O2 0.0961 0.2966 0.6094
O3 0.1884 0.0786 0.9137

Results
**Fermi-level density of states**: 0.0000 states/eV per atom
**Final energy**: -206.0 eV for the cell shown
**Total magnetization**: 0.00 μB/cell

21.
Here is a relaxed Ba3Sr3GeO8 crystal from Alexandria. Energies are from PBE.

Unit cell a=7.3085 b=7.3085 c=18.5673 alpha=90.00 beta=90.00 gamma=120.00
Space group R-3m (No. 166, hexagonal axes)
Asymmetric unit:
Ba1 0.0000 0.5000 0.0000
Sr1 0.0000 0.5000 0.5000
Ge1 0.0000 0.0000 0.5000
O1 0.0000 0.0000 0.2433
O2 0.0661 0.5330 0.2291

Results
**Final energy**: -271.5 eV for the cell shown
**Total magnetization**: 0.00 μB/cell